Record 1
Compound: La2Dy2Er5
Source: Alexandria
Functional: PBE
Structure: optimized geometry

a b c (Å): 10.103 10.103 10.103
angles (deg): 84.81 108.19 141.11
Element x y z (fractional)
La (0.001, 0.128, 0.129)
La (0.001, 0.372, 0.373)
La (0.999, 0.628, 0.627)
La (0.999, 0.872, 0.871)
Dy (0.446, 0.206, 0.740)
Dy (0.466, 0.706, 0.260)
Dy (0.543, 0.043, 0.500)
Dy (0.543, 0.543, 0.000)
Er (0.114, 0.413, 0.807)
Er (0.114, 0.807, 0.201)
Er (0.395, 0.901, 0.994)
Er (0.445, 0.321, 0.410)
Er (0.445, 0.535, 0.624)
Er (0.605, 0.307, 0.193)
Er (0.605, 0.913, 0.799)
Er (0.907, 0.401, 0.006)
Er (0.911, 0.035, 0.590)
Er (0.911, 0.821, 0.376)

Summary:
**E_tot**: -4.44 eV per atom
**Crystal system**: orthorhombic
**DFT formation energy**: 0.21 eV per atom
**D(E_F)**: 31.7 states/eV per cell
**SG**: Ima2, No. 46
**Distance to the lowest polymorph of the same formula**: 0.0 meV per atom


Record 2
Compound: SmEr8Tm5
Source: Alexandria
Functional: PBE
Structure: optimized geometry

a b c (Å): 8.337 8.337 8.337
angles (deg): 111.31 111.31 105.85
Element x y z (fractional)
Sm (0.000, 0.000, 0.000)
Er (0.092, 0.673, 0.761)
Er (0.278, 0.525, 0.106)
Er (0.327, 0.088, 0.419)
Er (0.419, 0.172, 0.894)
Er (0.475, 0.581, 0.753)
Er (0.669, 0.908, 0.581)
Er (0.828, 0.722, 0.247)
Er (0.912, 0.331, 0.239)
Tm (0.033, 0.211, 0.596)
Tm (0.250, 0.750, 0.500)
Tm (0.562, 0.967, 0.178)
Tm (0.615, 0.438, 0.404)
Tm (0.789, 0.385, 0.822)

Summary:
**E_tot**: -4.29 eV per atom
**Crystal system**: tetragonal
**DFT formation energy**: 0.25 eV per atom
**D(E_F)**: 21.4 states/eV per cell
**SG**: I-4, No. 82


Record 3
Compound: CuPCl2
Source: Alexandria
Functional: PBE
Structure: optimized geometry

a b c (Å): 3.181 3.326 8.023
angles (deg): 90.00 90.00 90.00
Element x y z (fractional)
Cu (0.000, 0.000, 0.000)
P (0.500, 0.500, 0.899)
Cl (0.000, 0.000, 0.271)
Cl (0.500, 0.500, 0.647)

Summary:
**E_tot**: -3.50 eV per atom
**Crystal system**: orthorhombic
**D(E_F)**: 2.0 states/eV per cell
**SG**: Pmm2, No. 25
**Distance to the lowest polymorph of the same formula**: 144.4 meV per atom